VASP calculation (PBE-GGA) on a relaxed structure of SiHg2Sb.

Geometry as POSCAR:
```
SiHg2Sb
1.0
-7.740 -1.498 1.750
-6.652 -4.577 -0.154
-5.879 -4.263 3.533
Hg Sb Si
2 1 1
Direct
0.010 0.010 0.010
0.490 0.490 0.490
0.250 0.250 0.250
0.750 0.750 0.750
```

Results
SG ... R-3m, No. 166
Uncorrected formation energy ... 0.385 eV/atom
Relative energy among the computed polymorphs ... 0.218 eV/atom
D(E_F) ... 2.86 states/eV per cell

=====

VASP calculation (PBE-GGA) on a relaxed structure of VZn2Ni4.

Geometry as POSCAR:
```
VZn2Ni4
1.0
0.317 2.506 -2.638
-2.938 -1.386 -1.670
-2.615 3.584 5.619
V Zn Ni
1 2 4
Direct
0.000 0.000 0.000
0.746 0.746 0.492
0.254 0.254 0.508
0.386 0.886 0.773
0.886 0.386 0.773
0.614 0.114 0.227
0.114 0.614 0.227
```

Results
SG ... I4/mmm, No. 139
D(E_F) ... 4.43 states/eV per cell
DFT formation energy ... 3 meV/atom

=====

VASP calculation (PBE-GGA) on a relaxed structure of Th2GaHRh6.

Geometry as POSCAR:
```
Th2GaHRh6
1.0
-0.790 -5.935 1.438
4.412 0.446 4.273
-1.164 -1.642 5.831
Th Ga H Rh
2 1 1 6
Direct
0.750 0.250 0.500
0.250 0.750 0.500
0.000 0.000 0.000
0.500 0.500 0.000
0.272 0.272 0.455
0.728 0.728 0.999
0.272 0.728 0.000
0.728 0.272 0.000
0.272 0.272 0.001
0.728 0.728 0.545
```

Results
SG ... Immm, No. 71
D(E_F) ... 8.37 states/eV per cell
E_tot ... -7.22 eV/atom

=====

no.,calculated volume (A^3/atom)
1,24.05
2,12.73
3,16.49